Record 1
An optimized crystal structure of Si2TcNi, computed with PBE.

The calculation puts the density of states at the Fermi level at 0.776 states/eV/atom. The raw formation energy is -0.256 eV per atom.

a b c (Å): 7.8119 7.8119 7.8119
angles (deg): 20.49 20.49 20.49
Atoms (fractional coordinates):
Si: 0.2464 0.2464 0.2464
Si: 0.7536 0.7536 0.7536
Tc: 0.0000 0.0000 0.0000
Ni: 0.5000 0.5000 0.5000

=====

Record 2
An optimized crystal structure of Ho3Er2Tm7, computed with PBE.

The relative energy among the computed polymorphs is 0 meV per atom. The calculation puts the density of states at the Fermi level at 1.536 states/eV/atom. For the formation energy, the calculation gives 0.099 eV/atom.

a b c (Å): 6.8610 3.4452 15.4745
angles (deg): 90.00 90.04 90.00
Atoms (fractional coordinates):
Ho: 0.0000 0.0000 0.0000
Ho: 0.5002 0.5000 0.3354
Ho: 0.4998 0.5000 0.6646
Er: 0.2578 0.0000 0.1774
Er: 0.7422 0.0000 0.8226
Tm: 0.9999 0.5000 0.3385
Tm: 0.0001 0.5000 0.6615
Tm: 0.2485 0.0000 0.5000
Tm: 0.2580 0.0000 0.8223
Tm: 0.5000 0.5000 0.0000
Tm: 0.7420 0.0000 0.1777
Tm: 0.7515 0.0000 0.5000

=====

Record 3
An optimized crystal structure of HfZrTiMo, computed with PBE.

The calculation puts the density of states at the Fermi level at 1.850 states/eV/atom. For the formation energy, the calculation gives 0.046 eV/atom.

a b c (Å): 4.7787 4.7787 4.7787
angles (deg): 60.00 60.00 60.00
Atoms (fractional coordinates):
Hf: 0.0000 0.0000 0.0000
Zr: 0.5000 0.5000 0.5000
Ti: 0.2500 0.2500 0.2500
Mo: 0.7500 0.7500 0.7500

=====

Record 4
An optimized crystal structure of ReTcHg2, computed with PBE.

The relative energy among the computed polymorphs is 563 meV per atom. The calculation puts the density of states at the Fermi level at 0.899 states/eV/atom. For the formation energy, the calculation gives 0.881 eV/atom.

a b c (Å): 4.9583 4.9583 4.9583
angles (deg): 130.19 130.19 73.11
Atoms (fractional coordinates):
Re: 0.0000 0.0000 0.0000
Tc: 0.2500 0.7500 0.5000
Hg: 0.5000 0.5000 0.0000
Hg: 0.7500 0.2500 0.5000

=====

Record 5
An optimized crystal structure of YCrH3, computed with PBE.

The calculation puts the density of states at the Fermi level at 0.366 states/eV/atom. The value obtained for the uncorrected energy is -24.9 eV/cell.

a b c (Å): 4.0780 4.0780 4.0780
angles (deg): 90.00 90.00 90.00
Atoms (fractional coordinates):
Y: 0.0000 0.0000 0.0000
Cr: 0.5000 0.5000 0.5000
H: 0.0000 0.0000 0.5000
H: 0.0000 0.5000 0.0000
H: 0.5000 0.0000 0.0000

=====

Record 6
An optimized crystal structure of ZrTaMn2, computed with PBE.

The calculation puts the density of states at the Fermi level at 1.116 states/eV/atom. For the formation energy, the calculation gives 0.199 eV/atom.

a b c (Å): 3.2507 4.1246 4.7607
angles (deg): 90.00 90.00 90.00
Atoms (fractional coordinates):
Zr: 0.0000 0.0000 0.0000
Ta: 0.5000 0.0000 0.5000
Mn: 0.0000 0.5000 0.5000
Mn: 0.5000 0.5000 0.0000

=====

Record 7
An optimized crystal structure of Tl3SeS, computed with PBE.

The relative energy among the computed polymorphs is 30 meV per atom. The calculation puts the density of states at the Fermi level at 0.306 states/eV/atom. The raw formation energy is -0.218 eV per atom.

a b c (Å): 7.5949 7.5949 9.5438
angles (deg): 113.03 113.03 45.62
Atoms (fractional coordinates):
Tl: 0.1174 0.1174 0.2185
Tl: 0.1516 0.1516 0.5995
Tl: 0.3795 0.3795 0.0624
Tl: 0.6205 0.6205 0.9376
Tl: 0.8484 0.8484 0.4005
Tl: 0.8826 0.8826 0.7815
Se: 0.1192 0.1192 0.8940
Se: 0.8808 0.8808 0.1060
S: 0.3722 0.3722 0.7569
S: 0.6278 0.6278 0.2431

=====

Record 8
An optimized crystal structure of FeHg2Sb, computed with PBE.

The calculation puts the density of states at the Fermi level at 0.591 states/eV/atom. The raw formation energy is 0.401 eV per atom.

a b c (Å): 3.0909 3.0909 9.1103
angles (deg): 90.00 90.00 90.17
Atoms (fractional coordinates):
Fe: 0.0000 0.0000 0.0000
Hg: 0.5000 0.5000 0.2019
Hg: 0.5000 0.5000 0.7981
Sb: 0.0000 0.0000 0.5000

=====

Record 9
An optimized crystal structure of Pr3Sm4Cd, computed with PBE.

The relative energy among the computed polymorphs is 0 meV per atom. The calculation puts the density of states at the Fermi level at 1.316 states/eV/atom. For the formation energy, the calculation gives -0.069 eV/atom.

a b c (Å): 3.6864 3.6864 19.5631
angles (deg): 90.00 90.00 90.00
Atoms (fractional coordinates):
Pr: 0.0000 0.0000 0.0000
Pr: 0.0000 0.0000 0.2648
Pr: 0.0000 0.0000 0.7352
Sm: 0.5000 0.5000 0.1322
Sm: 0.5000 0.5000 0.3955
Sm: 0.5000 0.5000 0.6045
Sm: 0.5000 0.5000 0.8678
Cd: 0.0000 0.0000 0.5000

=====

Record 10
An optimized crystal structure of LaSb2Te2, computed with PBE.

The relative energy among the computed polymorphs is 214 meV per atom. The calculation puts the density of states at the Fermi level at 0.562 states/eV/atom. The raw formation energy is -0.312 eV per atom.

a b c (Å): 10.7267 10.7267 10.7267
angles (deg): 156.92 156.92 32.87
Atoms (fractional coordinates):
La: 0.0000 0.0000 0.0000
Sb: 0.4310 0.4310 0.0000
Sb: 0.5690 0.5690 0.0000
Te: 0.2500 0.7500 0.5000
Te: 0.7500 0.2500 0.5000

=====

Record 11
An optimized crystal structure of Pm2Y3HoEr6, computed with PBE.

The calculation puts the density of states at the Fermi level at 1.390 states/eV/atom. For the formation energy, the calculation gives 0.022 eV/atom.

a b c (Å): 6.1456 6.1456 11.7493
angles (deg): 94.99 94.99 119.95
Atoms (fractional coordinates):
Pm: 0.1667 0.8333 0.0000
Pm: 0.8333 0.1667 0.0000
Y: 0.0000 0.0000 0.5000
Y: 0.3335 0.6665 0.5000
Y: 0.6665 0.3335 0.5000
Ho: 0.5000 0.5000 0.0000
Er: 0.0830 0.4158 0.7493
Er: 0.2516 0.2516 0.2509
Er: 0.4158 0.0830 0.7493
Er: 0.5842 0.9170 0.2507
Er: 0.7484 0.7484 0.7491
Er: 0.9170 0.5842 0.2507

=====

Record 12
An optimized crystal structure of Dy8Ho3In4, computed with PBE.

The calculation puts the density of states at the Fermi level at 1.348 states/eV/atom. For the formation energy, the calculation gives 0.077 eV/atom.

a b c (Å): 9.0440 9.0440 6.5543
angles (deg): 110.88 110.88 89.04
Atoms (fractional coordinates):
Dy: 0.1431 0.8569 0.0000
Dy: 0.2299 0.2299 0.9783
Dy: 0.2395 0.7605 0.5000
Dy: 0.2398 0.2398 0.4924
Dy: 0.7602 0.7602 0.5076
Dy: 0.7605 0.2395 0.5000
Dy: 0.7701 0.7701 0.0217
Dy: 0.8569 0.1431 0.0000
Ho: 0.0000 0.5000 0.0000
Ho: 0.5000 0.0000 0.0000
Ho: 0.5000 0.5000 0.5000
In: 0.0000 0.0000 0.5000
In: 0.0000 0.5000 0.5000
In: 0.5000 0.0000 0.5000
In: 0.5000 0.5000 0.0000

=====

Record 13
An optimized crystal structure of PmAgO3, computed with PBE.

The calculation puts the density of states at the Fermi level at 0.094 states/eV/atom. The raw formation energy is -1.547 eV per atom.

a b c (Å): 7.6363 7.6363 6.5312
angles (deg): 90.00 90.00 119.77
Atoms (fractional coordinates):
Pm: 0.1013 0.8987 0.7949
Pm: 0.3987 0.6013 0.2949
Pm: 0.6013 0.3987 0.7051
Pm: 0.8987 0.1013 0.2051
Ag: 0.1308 0.3692 0.7500
Ag: 0.3692 0.1308 0.2500
Ag: 0.6308 0.8692 0.7500
Ag: 0.8692 0.6308 0.2500
O: 0.0800 0.9200 0.1689
O: 0.0897 0.3418 0.4444
O: 0.1582 0.4103 0.0556
O: 0.3418 0.0897 0.5556
O: 0.4103 0.1582 0.9444
O: 0.4200 0.5800 0.6689
O: 0.5800 0.4200 0.3311
O: 0.5897 0.8418 0.0556
O: 0.6582 0.9103 0.4444
O: 0.8418 0.5897 0.9444
O: 0.9103 0.6582 0.5556
O: 0.9200 0.0800 0.8311

=====

Record 14
An optimized crystal structure of CaTaSCl2, computed with PBE.

The relative energy among the computed polymorphs is 787 meV per atom. The calculation puts the density of states at the Fermi level at 1.282 states/eV/atom. The raw formation energy is -0.011 eV per atom.

a b c (Å): 4.9828 4.9828 5.5394
angles (deg): 90.00 90.00 90.00
Atoms (fractional coordinates):
Ca: 0.0000 0.0000 0.0000
Ta: 0.5000 0.5000 0.5000
S: 0.0000 0.0000 0.5000
Cl: 0.0000 0.5000 0.0000
Cl: 0.5000 0.0000 0.0000

=====

Record 15
An optimized crystal structure of NaMn2Si, computed with PBE.

The relative energy among the computed polymorphs is 340 meV per atom. The calculation puts the density of states at the Fermi level at 0.868 states/eV/atom. The raw formation energy is 0.721 eV per atom.

a b c (Å): 8.9324 8.9324 8.9324
angles (deg): 147.98 147.98 45.92
Atoms (fractional coordinates):
Na: 0.0000 0.0000 0.0000
Na: 0.7500 0.2500 0.5000
Mn: 0.3730 0.1250 0.7480
Mn: 0.3750 0.6270 0.7520
Mn: 0.3770 0.6250 0.2520
Mn: 0.8750 0.6230 0.2480
Si: 0.2500 0.7500 0.5000
Si: 0.5000 0.5000 0.0000

=====

Record 16
An optimized crystal structure of TlOsS2Br, computed with PBE.

The calculation puts the density of states at the Fermi level at 1.391 states/eV/atom. The raw formation energy is 1.750 eV per atom.

a b c (Å): 5.1021 5.1021 5.5620
angles (deg): 90.00 90.00 90.00
Atoms (fractional coordinates):
Tl: 0.0000 0.0000 0.0000
Os: 0.0000 0.0000 0.5000
S: 0.0000 0.5000 0.0000
S: 0.5000 0.0000 0.0000
Br: 0.5000 0.5000 0.5000

=====

Record 17
An optimized crystal structure of Th2ZnSi, computed with PBE.

The relative energy among the computed polymorphs is 0 meV per atom. The calculation puts the density of states at the Fermi level at 0.911 states/eV/atom. The raw formation energy is -0.473 eV per atom.

a b c (Å): 6.0189 4.0528 8.5894
angles (deg): 90.00 109.70 90.00
Atoms (fractional coordinates):
Th: 0.2142 0.2500 0.4301
Th: 0.2813 0.7500 0.0743
Th: 0.7187 0.2500 0.9257
Th: 0.7858 0.7500 0.5699
Zn: 0.3505 0.7500 0.7186
Zn: 0.6495 0.2500 0.2814
Si: 0.1403 0.2500 0.7888
Si: 0.8597 0.7500 0.2112

=====

Record 18
An optimized crystal structure of Mg4Si3, computed with PBE.

The relative energy among the computed polymorphs is 88 meV per atom. The calculation puts the density of states at the Fermi level at 0.328 states/eV/atom. The raw formation energy is 0.056 eV per atom.

a b c (Å): 6.5792 7.3139 12.2450
angles (deg): 96.62 91.54 106.71
Atoms (fractional coordinates):
Mg: 0.0000 0.0000 0.0000
Mg: 0.0097 0.3842 0.7001
Mg: 0.0733 0.0979 0.4885
Mg: 0.1956 0.5926 0.4833
Mg: 0.2107 0.9941 0.7320
Mg: 0.2291 0.0875 0.2397
Mg: 0.2641 0.6014 0.2254
Mg: 0.4618 0.3554 0.6375
Mg: 0.5153 0.0592 0.0034
Mg: 0.5523 0.9852 0.5403
Mg: 0.6021 0.6524 0.0052
Mg: 0.6673 0.4214 0.2118
Mg: 0.7041 0.9650 0.2314
Mg: 0.7354 0.9888 0.7896
Mg: 0.8117 0.7065 0.5969
Mg: 0.9704 0.4334 0.0023
Si: 0.2857 0.7058 0.8643
Si: 0.3018 0.3454 0.8719
Si: 0.3098 0.3224 0.0699
Si: 0.4090 0.7082 0.6798
Si: 0.4611 0.3451 0.4084
Si: 0.5860 0.6942 0.3863
Si: 0.6636 0.3408 0.8333
Si: 0.7983 0.3318 0.4963
Si: 0.9079 0.6874 0.8319
Si: 0.9562 0.7588 0.3481
Si: 0.9658 0.3161 0.3218
Si: 0.9666 0.7435 0.1461

=====

Record 19
An optimized crystal structure of ZrInW2, computed with PBE.

The calculation puts the density of states at the Fermi level at 0.972 states/eV/atom. For the formation energy, the calculation gives 0.398 eV/atom.

a b c (Å): 2.8942 2.8942 9.4203
angles (deg): 90.00 90.00 108.81
Atoms (fractional coordinates):
Zr: 0.0000 0.0000 0.0000
In: 0.0000 0.0000 0.5000
W: 0.5000 0.5000 0.2503
W: 0.5000 0.5000 0.7497

=====

Record 20
An optimized crystal structure of Sr2PdBrN, computed with PBE.

The calculation puts the density of states at the Fermi level at 0.475 states/eV/atom. The raw formation energy is -0.890 eV per atom.

a b c (Å): 5.3635 5.3635 4.0727
angles (deg): 90.00 90.00 90.00
Atoms (fractional coordinates):
Sr: 0.0000 0.5000 0.0000
Sr: 0.5000 0.0000 0.0000
Pd: 0.0000 0.0000 0.5000
Br: 0.5000 0.5000 0.5000
N: 0.0000 0.0000 0.0000